Record 1
# CsLiBr2 | the Alexandria database | PBE | relaxed
data_CsLiBr2
_chemical_formula_sum 'Cs1 Li1 Br2'
_cell_length_a 5.779
_cell_length_b 5.779
_cell_length_c 5.779
_cell_angle_alpha 60.00
_cell_angle_beta 60.00
_cell_angle_gamma 60.00
_symmetry_space_group_name_H-M 'P 1'
_symmetry_Int_Tables_number 1
loop_
_symmetry_equiv_pos_as_xyz
'x,y,z'
loop_
_atom_site_label
_atom_site_type_symbol
_atom_site_fract_x
_atom_site_fract_y
_atom_site_fract_z
Br1 Br 0.250 0.250 0.250
Br2 Br 0.750 0.750 0.750
Cs1 Cs 0.500 0.500 0.500
Li1 Li 0.000 0.000 0.000
# Energy relative to the elements, uncorrected in eV/atom: -1.34
# Symmetry: Fm-3m

=====

Record 2
# Y2HfNi2 | the Alexandria database | PBE | relaxed
data_Y2HfNi2
_chemical_formula_sum 'Y4 Hf2 Ni4'
_cell_length_a 6.736
_cell_length_b 6.736
_cell_length_c 4.554
_cell_angle_alpha 90.00
_cell_angle_beta 90.00
_cell_angle_gamma 90.00
_symmetry_space_group_name_H-M 'P 1'
_symmetry_Int_Tables_number 1
loop_
_symmetry_equiv_pos_as_xyz
'x,y,z'
loop_
_atom_site_label
_atom_site_type_symbol
_atom_site_fract_x
_atom_site_fract_y
_atom_site_fract_z
Hf1 Hf 0.000 0.000 0.000
Y1 Y 0.324 0.176 0.500
Y2 Y 0.176 0.676 0.500
Ni1 Ni 0.372 0.872 0.000
Ni2 Ni 0.128 0.372 0.000
Y3 Y 0.824 0.324 0.500
Ni3 Ni 0.872 0.628 0.000
Y4 Y 0.676 0.824 0.500
Ni4 Ni 0.628 0.128 0.000
Hf2 Hf 0.500 0.500 0.000
# Symmetry: P4/mbm
# DFT formation energy in eV/atom: -0.29

=====

Record 3
# CeNdTe2 | the Alexandria database | PBE | relaxed
data_CeNdTe2
_chemical_formula_sum 'Ce1 Nd1 Te2'
_cell_length_a 3.875
_cell_length_b 3.875
_cell_length_c 7.759
_cell_angle_alpha 90.00
_cell_angle_beta 90.00
_cell_angle_gamma 90.00
_symmetry_space_group_name_H-M 'P 1'
_symmetry_Int_Tables_number 1
loop_
_symmetry_equiv_pos_as_xyz
'x,y,z'
loop_
_atom_site_label
_atom_site_type_symbol
_atom_site_fract_x
_atom_site_fract_y
_atom_site_fract_z
Nd1 Nd 0.500 0.500 0.000
Te1 Te 0.000 0.000 0.750
Ce1 Ce 0.500 0.500 0.500
Te2 Te 0.000 0.000 0.250
# Relative energy among the computed polymorphs in eV per atom: 0.121
# Energy relative to the elements, uncorrected in eV/atom: -1.28
# Symmetry: P4/mmm